# 1
Material: MgPdSO
Method: DFT, PBE
State: optimized geometry

```
MgPdSO
1.0
-1.6115 2.6812 5.5496
-4.5753 1.8926 4.0086
0.0637 -4.9309 2.4008
O Pd S Mg
2 2 2 2
direct
0.0000 0.0000 0.0000
0.0000 0.0000 0.5000
0.4049 0.4049 0.2500
0.5951 0.5951 0.7500
0.2204 0.2204 0.7500
0.7796 0.7796 0.2500
0.1148 0.1148 0.2500
0.8852 0.8852 0.7500
```

Properties
Relative energy among the computed polymorphs (kcal/mol of atoms): 9.76
Uncorrected energy (eV per atom): -4.700


# 2
Material: MgPdSO
Method: DFT, PBE
State: optimized geometry

```
MgPdSO
1.0
3.5097 0.0000 0.0000
0.0000 3.5097 0.0000
0.0000 0.0000 11.1691
Pd Mg O S
2 2 2 2
direct
0.2500 0.7500 0.0000
0.7500 0.2500 0.0000
0.7500 0.7500 0.4147
0.2500 0.2500 0.5853
0.7500 0.7500 0.5895
0.2500 0.2500 0.4105
0.2500 0.2500 0.1519
0.7500 0.7500 0.8481
```

Properties
Relative energy among the computed polymorphs (kcal/mol of atoms): 11.11
Uncorrected energy (eV per atom): -4.642


# 3
Material: MgPdSO
Method: DFT, PBE
State: optimized geometry

```
MgPdSO
1.0
-1.9457 0.0282 -2.7096
-2.3561 -5.7919 1.6316
-7.8572 4.7998 5.6922
S Pd O Mg
4 4 4 4
direct
0.2500 0.2555 0.8724
0.7500 0.2445 0.3724
0.2500 0.7555 0.6276
0.7500 0.7445 0.1276
0.7500 0.2510 0.0194
0.2500 0.7490 0.9806
0.2500 0.2490 0.5194
0.7500 0.7510 0.4806
0.7500 0.2534 0.6454
0.2500 0.2466 0.1454
0.2500 0.7466 0.3546
0.7500 0.7534 0.8546
0.2500 0.9945 0.2481
0.7500 0.0055 0.7519
0.7500 0.5055 0.7481
0.2500 0.4945 0.2519
```

Properties
Relative energy among the computed polymorphs (kcal/mol of atoms): 2.18
Uncorrected energy (eV per atom): -5.029


# 4
Material: MgPdSO
Method: DFT, PBE
State: optimized geometry

```
MgPdSO
1.0
6.0809 0.0000 0.0000
0.0000 12.7519 0.0000
0.0000 0.0000 6.5563
Mg Pd O S
8 8 8 8
direct
0.0437 0.2608 0.6377
0.0437 0.2392 0.1377
0.9563 0.7608 0.8623
0.5437 0.2392 0.3623
0.4563 0.7608 0.6377
0.9563 0.7392 0.3623
0.4563 0.7392 0.1377
0.5437 0.2608 0.8623
0.7456 0.0608 0.9921
0.7544 0.9392 0.4921
0.2456 0.4392 0.0079
0.2544 0.5608 0.5079
0.2456 0.0608 0.5079
0.7544 0.5608 0.9921
0.2544 0.9392 0.0079
0.7456 0.4392 0.4921
0.2801 0.7563 0.8882
0.2199 0.2437 0.3882
0.7801 0.7563 0.6118
0.7199 0.2563 0.6118
0.7801 0.7437 0.1118
0.2801 0.7437 0.3882
0.7199 0.2437 0.1118
0.2199 0.2563 0.8882
0.4988 0.5040 0.2454
0.9988 0.5040 0.2546
0.0012 0.4960 0.7454
0.5012 0.4960 0.7546
0.5012 0.0040 0.2546
0.9988 0.9960 0.7546
0.4988 0.9960 0.7454
0.0012 0.0040 0.2454
```

Properties
Relative energy among the computed polymorphs (kcal/mol of atoms): 0.59
Uncorrected energy (eV per atom): -5.098


# 5
Material: MgPdSO
Method: DFT, PBE
State: optimized geometry

```
MgPdSO
1.0
-2.6240 -2.1534 0.5243
3.7389 -4.5485 0.0310
1.2816 1.1289 11.0514
S Mg O Pd
4 4 4 4
direct
0.2500 0.5765 0.6534
0.7500 0.9235 0.1534
0.7500 0.4235 0.3466
0.2500 0.0765 0.8466
0.2500 0.1948 0.5217
0.7500 0.3052 0.0217
0.7500 0.8052 0.4783
0.2500 0.6948 0.9783
0.2500 0.9109 0.4132
0.7500 0.0891 0.5868
0.7500 0.5891 0.9132
0.2500 0.4109 0.0868
0.7500 0.8306 0.7442
0.7500 0.3306 0.7558
0.2500 0.6694 0.2442
0.2500 0.1694 0.2558
```

Properties
Relative energy among the computed polymorphs (kcal/mol of atoms): 2.54
Uncorrected energy (eV per atom): -5.013


# 6
Material: MgPdSO
Method: DFT, PBE
State: optimized geometry

```
MgPdSO
1.0
-2.3845 -3.0713 1.1228
2.5522 -2.6167 -1.7374
3.8056 -0.5874 6.4752
S Pd Mg O
2 2 2 2
direct
0.2500 0.2500 0.2747
0.7500 0.7500 0.7253
0.2500 0.2500 0.7703
0.7500 0.7500 0.2297
0.2500 0.7500 0.0000
0.7500 0.2500 0.0000
0.7500 0.7500 0.5247
0.2500 0.2500 0.4753
```

Properties
Relative energy among the computed polymorphs (kcal/mol of atoms): 18.71
Uncorrected energy (eV per atom): -4.312


- Which of these has the lowest relative energy among the computed polymorphs?
  number 4